The following is a DFT calculation (PBE) of a relaxed structure of Ca2TlTc.

## Properties
ΔH_f (0 K) = 361 meV/atom
Offset from the most stable computed form = 65 meV per atom
Final energy = -0.14048 hartree per atom

Structure (CIF):
```
data_Ca2TlTc
_space_group_name_H-M_alt 'I 4/m m m'
_space_group_IT_number 139
_space_group_name_Hall '-I 4 2'
_cell_length_a 4.698
_cell_length_b 4.698
_cell_length_c 8.833
_cell_angle_alpha 90.00
_cell_angle_beta 90.00
_cell_angle_gamma 90.00
loop_
_atom_site_label
_atom_site_fract_x
_atom_site_fract_y
_atom_site_fract_z
Ca1 0.000 0.500 0.250
Tl1 0.000 0.000 0.000
Tc1 0.000 0.000 0.500
```